4
Lattice="-1.040 3.673 -2.203 -3.088 -0.116 -3.143 -3.900 1.942 0.670" Properties=species:S:1:pos:R:3 comment="TaZnRu2 (GGA-PBE, optimized geometry)" dos_at_fermi_per_ev_cell=3.9 dft_energy_ev_per_atom=-7.738 spacegroup=F-43m pbc="T T T"
Ru 0.000 0.000 0.000
Ru -2.007 1.375 -1.169
Zn -6.021 4.124 -3.507
Ta -4.014 2.750 -2.338